A plane-wave DFT calculation with PBE-GGA was carried out for crystalline Ag4Au at its relaxed geometry.

Results
D(E_F) ... 1.13 states/eV per cell
Crystal system ... tetragonal
Energy above the lowest structure with this stoichiometry ... 11 meV per atom
DFT formation energy ... -0.010 eV/atom

Cell lengths 10.712, 2.919, 2.919 Å; angles 90.00, 97.83, 82.17 degrees
Element x y z (fractional)
Ag: 0.001 0.000 0.000
Ag: 0.400 0.800 0.200
Ag: 0.599 0.200 0.800
Ag: 0.200 0.400 0.600
Au: 0.800 0.600 0.400

A plane-wave DFT calculation with PBE-GGA was carried out for crystalline TbCeDyTm at its relaxed geometry.

Results
D(E_F) ... 9.74 states/eV per cell
Crystal system ... cubic
DFT formation energy ... 0.164 eV/atom

Cell lengths 5.633, 5.633, 5.633 Å; angles 60.00, 60.00, 60.00 degrees
Element x y z (fractional)
Tb: 0.000 0.000 0.000
Dy: 0.750 0.750 0.750
Ce: 0.500 0.500 0.500
Tm: 0.250 0.250 0.250

A plane-wave DFT calculation with PBE-GGA was carried out for crystalline K2ZrRe at its relaxed geometry.

Results
D(E_F) ... 4.30 states/eV per cell
Crystal system ... cubic
Energy above the lowest structure with this stoichiometry ... 826 meV per atom
DFT formation energy ... 1.472 eV/atom

Cell lengths 5.153, 5.153, 5.153 Å; angles 119.98, 119.98, 90.04 degrees
Element x y z (fractional)
Zr: 0.750 0.250 0.500
K: 0.250 0.750 0.500
K: 0.000 0.000 0.000
Re: 0.500 0.500 0.000

A plane-wave DFT calculation with PBE-GGA was carried out for crystalline Ti6Ga2Co at its relaxed geometry.

Results
D(E_F) ... 10.66 states/eV per cell
Crystal system ... orthorhombic
DFT formation energy ... 0.010 eV/atom

Cell lengths 4.391, 5.915, 7.231 Å; angles 114.14, 107.71, 90.00 degrees
Element x y z (fractional)
Ti: 0.500 0.243 0.000
Ti: 0.851 0.099 0.701
Ti: 0.500 0.757 0.000
Ti: 0.149 0.901 0.299
Ti: 0.851 0.602 0.701
Ti: 0.149 0.398 0.299
Ga: 0.324 0.325 0.649
Ga: 0.676 0.675 0.351
Co: 0.000 0.000 0.000

A plane-wave DFT calculation with PBE-GGA was carried out for crystalline Pr2TmGa at its relaxed geometry.

Results
D(E_F) ... 5.40 states/eV per cell
Crystal system ... trigonal
Energy above the lowest structure with this stoichiometry ... 129 meV per atom
DFT formation energy ... -0.124 eV/atom

Cell lengths 3.721, 3.721, 10.679 Å; angles 79.97, 79.97, 60.00 degrees
Element x y z (fractional)
Ga: 0.666 0.666 0.001
Pr: 0.073 0.073 0.782
Pr: 0.261 0.261 0.218
Tm: 0.500 0.500 0.500

A plane-wave DFT calculation with PBE-GGA was carried out for crystalline TlCr2 at its relaxed geometry.

Results
D(E_F) ... 2.87 states/eV per cell
Crystal system ... trigonal
Energy above the lowest structure with this stoichiometry ... 232 meV per atom
DFT formation energy ... 0.672 eV/atom

Cell lengths 2.982, 2.982, 6.400 Å; angles 90.00, 90.00, 120.00 degrees
Element x y z (fractional)
Tl: 0.000 0.000 0.000
Cr: 0.333 0.667 0.384
Cr: 0.667 0.333 0.616

A plane-wave DFT calculation with PBE-GGA was carried out for crystalline Ce3AlH at its relaxed geometry.

Results
D(E_F) ... 11.53 states/eV per cell
Crystal system ... cubic
Energy above the lowest structure with this stoichiometry ... 0 meV per atom

Cell lengths 4.772, 4.772, 4.772 Å; angles 90.00, 90.00, 90.00 degrees
Element x y z (fractional)
H: 0.000 0.000 0.000
Al: 0.500 0.500 0.500
Ce: 0.000 0.000 0.500
Ce: 0.000 0.500 0.000
Ce: 0.500 0.000 0.000

A plane-wave DFT calculation with PBE-GGA was carried out for crystalline Hg5As at its relaxed geometry.

Results
D(E_F) ... 2.96 states/eV per cell
Crystal system ... tetragonal
Energy above the lowest structure with this stoichiometry ... 26 meV per atom
DFT formation energy ... 0.158 eV/atom

Cell lengths 2.981, 2.981, 17.653 Å; angles 90.00, 90.00, 90.00 degrees
Element x y z (fractional)
Hg: 0.500 0.500 0.325
Hg: 0.000 0.000 0.500
Hg: 0.000 0.000 0.154
Hg: 0.500 0.500 0.675
Hg: 0.000 0.000 0.846
As: 0.500 0.500 0.000